[1]
VASP calculation (PBE) on a geometry-optimized Ce2Pu3ScP6 structure.

Computed properties:
The calculation puts the mass density at 7.7 g cm⁻³. The calculation puts the calculated formation energy at -1.289 eV per atom.

Cell lengths 4.005, 7.952, 8.918 Å; angles 102.72, 102.98, 90.00 degrees
Each line ends with the local moment (μB).
Sites, in units of the cell vectors:
1 Ce 0.836 0.671 0.672  -0.24
2 Ce 0.164 0.329 0.328  -0.24
3 Pu 0.500 0.500 0.000  4.96
4 Pu 0.832 0.165 0.665  -4.93
5 Pu 0.168 0.835 0.335  -4.93
6 Sc 0.500 0.000 0.000  -0.01
7 P 0.337 0.925 0.674  0.08
8 P 0.667 0.586 0.333  0.04
9 P 0.663 0.075 0.326  0.08
10 P 0.998 0.241 0.995  -0.02
11 P 0.002 0.759 0.005  -0.02
12 P 0.333 0.414 0.667  0.04



[2]
VASP calculation (PBE) on a geometry-optimized MnGaP2Cl structure.

Computed properties:
The calculation puts the mass density at 3.8 g cm⁻³. The distance to the lowest polymorph of the same formula is 0.00 eV/f.u. The calculation puts the formation energy (no corrections) at 0.149 eV/atom.

Cell lengths 4.321, 4.321, 5.214 Å; angles 90.00, 90.00, 90.00 degrees
Each line ends with the local moment (μB).
Sites, in units of the cell vectors:
1 P 0.000 0.500 0.000  -0.07
2 P 0.500 0.000 0.000  -0.07
3 Mn 0.000 0.000 0.000  1.10
4 Ga 0.500 0.500 0.500  0.01
5 Cl 0.000 0.000 0.500  -0.02



[3]
VASP calculation (PBE) on a geometry-optimized Li3MoP structure.

Computed properties:
The calculation puts the mass density at 2.1 g cm⁻³. The calculation puts the calculated formation energy at 1.412 eV per atom. The distance to the lowest polymorph of the same formula is 3.12 eV/f.u.

Cell lengths 4.903, 4.903, 4.903 Å; angles 90.00, 90.00, 90.00 degrees
Each line ends with the local moment (μB).
Sites, in units of the cell vectors:
1 P 0.500 0.500 0.500  0.12
2 Mo 0.000 0.000 0.000  3.73
3 Li 0.000 0.500 0.000  0.04
4 Li 0.000 0.000 0.500  0.03
5 Li 0.500 0.000 0.000  0.04



mass density of number 3 (Li3MoP)? 2.1 g cm⁻³